Entry 1:
Below is crystalline Zr3V2Ge4 at its relaxed geometry, with properties calculated at the PBE level.

Cell lengths 3.7458, 6.1624, 8.1297 Å; angles 114.16, 90.00, 107.69 degrees
Sites, in units of the cell vectors:
Zr (0.6264, 0.2529, 0.6976)
Zr (0.0000, 0.0000, 0.0000)
Zr (0.3736, 0.7471, 0.3024)
V (0.6975, 0.3949, 0.3667)
V (0.3025, 0.6051, 0.6333)
Ge (0.6936, 0.3872, 0.0631)
Ge (0.3064, 0.6128, 0.9369)
Ge (0.9322, 0.8644, 0.6044)
Ge (0.0678, 0.1356, 0.3956)

Calculated values
Crystal system   monoclinic
Space group   C2/m

---

Entry 2:
Below is crystalline Nd3MgAl8 at its relaxed geometry, with properties calculated at the PBE level.

Cell lengths 5.6311, 5.6311, 9.7645 Å; angles 73.24, 73.24, 60.00 degrees
Sites, in units of the cell vectors:
Nd (0.3741, 0.3741, 0.8778)
Nd (0.9962, 0.9962, 0.0113)
Nd (0.5027, 0.5027, 0.4918)
Mg (0.8744, 0.8744, 0.3769)
Al (0.9398, 0.4366, 0.1870)
Al (0.4376, 0.9384, 0.6856)
Al (0.4366, 0.4366, 0.1870)
Al (0.9384, 0.9384, 0.6856)
Al (0.1879, 0.1879, 0.4364)
Al (0.6873, 0.6873, 0.9381)
Al (0.4366, 0.9398, 0.1870)
Al (0.9384, 0.4376, 0.6856)

Calculated values
Crystal system   trigonal
Space group   R3m

---

| no. | E_form (kJ/mol of formula units) |
| --- | --- |
| 1 | -462 |
| 2 | -435 |